Entry 1:
A relaxed Sm2HoC2 crystal, computed with PBE.

Cell: 11.692 5.277 7.396 Å, 90.00 110.80 90.00°
Space group C2/m (No. 12)
Asymmetric unit:
Sm (0.007, 0.000, 0.234)
Sm (0.165, 0.500, 0.074)
Ho (0.154, 0.500, 0.596)
C (0.001, 0.500, 0.736)
C (0.168, 0.000, 0.094)

Computed properties:
- energy (eV/cell) = -131.84



Entry 2:
A relaxed SmHo2C crystal, computed with PBE.

Cell: 3.5779 3.5779 9.1337 Å, 90.00 90.00 120.00°
Space group P-3m1 (No. 164)
Asymmetric unit:
Sm (0.0000, 0.0000, 0.0000)
Ho (0.3333, 0.6667, 0.6470)
C (0.0000, 0.0000, 0.5000)

Computed properties:
- relative energy among the computed polymorphs (eV/f.u.) = 0.000



Entry 3:
A relaxed SmHoC crystal, computed with PBE.

Cell: 12.750 3.616 6.267 Å, 90.00 99.46 90.00°
Space group C2/m (No. 12)
Asymmetric unit:
Sm (0.112, 0.000, 0.371)
Ho (0.105, 0.500, 0.868)
C (0.000, 0.000, 0.000)
C (0.000, 0.500, 0.500)

Computed properties:
- relative energy among the computed polymorphs (eV/f.u.) = 0.004



Entry 4:
A relaxed Sm2Ho4C crystal, computed with PBE.

Cell: 4.833 4.833 17.812 Å, 90.00 90.00 90.00°
Space group I4/mmm (No. 139)
Asymmetric unit:
Sm (0.000, 0.000, 0.176)
Ho (0.000, 0.000, 0.367)
Ho (0.000, 0.500, 0.000)
C (0.000, 0.000, 0.500)

Computed properties:
- energy (eV/cell) = -72.43



Entry 5:
A relaxed SmHoC crystal, computed with PBE.

Cell: 6.266 3.617 6.631 Å, 90.00 108.55 90.00°
Space group P2_1/m (No. 11)
Asymmetric unit:
Sm (0.009, 0.250, 0.278)
Ho (0.489, 0.250, 0.712)
C (0.257, 0.750, 0.503)

Computed properties:
- relative energy among the computed polymorphs (eV/f.u.) = 0.000



Entry 6:
A relaxed SmHo2SnC crystal, computed with PBE.

Cell: 4.873 4.873 5.022 Å, 90.00 90.00 90.00°
Space group P4/mmm (No. 123)
Asymmetric unit:
Sm (0.000, 0.000, 0.000)
Ho (0.000, 0.500, 0.500)
Sn (0.500, 0.500, 0.000)
C (0.000, 0.000, 0.500)

Computed properties:
- energy (eV/cell) = -30.10



Which calculated volume belongs to each record? In order, 21.3; 25.3; 23.8; 29.7; 23.7; 23.8 Å³ per atom.